# Er8GeAs4S3 | Alexandria | PBE | relaxed
# Space-group type: R-3m (166)
# Uncorrected energy (eV/atom): -6.150
data_Er8GeAs4S3
_chemical_formula_sum 'Er8 Ge1 As4 S3'
_cell_length_a 8.021
_cell_length_b 8.021
_cell_length_c 8.021
_cell_angle_alpha 60.11
_cell_angle_beta 60.11
_cell_angle_gamma 60.11
_symmetry_space_group_name_H-M 'P 1'
_symmetry_Int_Tables_number 1
_symmetry_space_group_name_Hall 'P 1'
loop_
_atom_site_label
_atom_site_fract_x
_atom_site_fract_y
_atom_site_fract_z
_atom_site_occupancy
Er1 0.248 0.248 0.751 1
Er2 0.248 0.751 0.248 1
Er3 0.249 0.249 0.249 1
Er4 0.249 0.752 0.752 1
Er5 0.751 0.248 0.248 1
Er6 0.751 0.751 0.751 1
Er7 0.752 0.249 0.752 1
Er8 0.752 0.752 0.249 1
Ge1 0.000 0.000 0.000 1
As1 0.000 0.000 0.500 1
As2 0.000 0.500 0.000 1
As3 0.500 0.000 0.000 1
As4 0.500 0.500 0.500 1
S1 0.000 0.500 0.500 1
S2 0.500 0.000 0.500 1
S3 0.500 0.500 0.000 1